Density functional theory data (PBE) for La7SmMg4 after structural relaxation.

Output
- Space-group type: C2/m, No. 12
- Total moment: 0.022 μB per atom
- N(E_F): 14.5 states/eV per cell
- Energy relative to the elements: 0.097 eV per atom

Cell and atoms, written as CIF:
```
data_La7SmMg4
_chemical_formula_sum 'La7 Sm1 Mg4'
_cell_length_a 5.9602
_cell_length_b 9.4257
_cell_length_c 8.4302
_cell_angle_alpha 67.64
_cell_angle_beta 69.30
_cell_angle_gamma 71.57
_symmetry_space_group_name_H-M 'P 1'
_symmetry_Int_Tables_number 1
loop_
_symmetry_equiv_pos_as_xyz
'x,y,z'
loop_
_atom_site_label
_atom_site_type_symbol
_atom_site_fract_x
_atom_site_fract_y
_atom_site_fract_z
La1 La 0.8010 0.8862 0.5118
La2 La 0.1990 0.1138 0.4882
La3 La 0.9159 0.4290 0.7392
La4 La 0.5000 0.0000 0.0000
La5 La 0.7495 0.2789 0.2220
La6 La 0.2505 0.7211 0.7780
La7 La 0.0841 0.5710 0.2608
Sm1 Sm 0.0000 0.0000 0.0000
Mg1 Mg 0.3257 0.3489 0.9996
Mg2 Mg 0.5377 0.3078 0.6168
Mg3 Mg 0.6743 0.6511 0.0004
Mg4 Mg 0.4623 0.6922 0.3832
```